No. 1
# AcLaPt2, relaxed, DFT GGA-PBE
data_AcLaPt2
_space_group_name_H-M_alt 'P 1 21/m 1'
_space_group_IT_number 11
_cell_length_a 6.0605
_cell_length_b 4.6058
_cell_length_c 8.1287
_cell_angle_alpha 90.00
_cell_angle_beta 109.58
_cell_angle_gamma 90.00
loop_
_space_group_symop_operation_xyz
'x,y,z'
'-x,-y,-z'
'-x,y+1/2,-z'
'x,-y+1/2,z'
loop_
_atom_site_label
_atom_site_type_symbol
_atom_site_fract_x
_atom_site_fract_y
_atom_site_fract_z
Ac1 Ac 0.2311 0.2500 0.1847
La1 La 0.2308 0.2500 0.6810
Pt1 Pt 0.3105 0.7500 0.4592
Pt2 Pt 0.3186 0.7500 0.9488
# Formation enthalpy at 0 K in eV per atom: -1.177
# Calculated volume in Å³ per cell: 213.8
# Total DFT energy (no corrections) in eV per atom: -6.456

No. 2
# Ac2LaPt, relaxed, DFT GGA-PBE
data_Ac2LaPt
_space_group_name_H-M_alt 'R -3 m'
_space_group_IT_number 166
_space_group_name_Hall '-R 3 2"'
_cell_length_a 4.1140
_cell_length_b 4.1140
_cell_length_c 33.4805
_cell_angle_alpha 90.00
_cell_angle_beta 90.00
_cell_angle_gamma 120.00
loop_
_atom_site_label
_atom_site_type_symbol
_atom_site_fract_x
_atom_site_fract_y
_atom_site_fract_z
Ac1 Ac 0.0000 0.0000 0.1120
La1 La 0.0000 0.0000 0.0000
Pt1 Pt 0.0000 0.0000 0.5000
# Formation enthalpy at 0 K in eV per atom: -0.331
# Calculated volume in Å³ per cell: 490.7
# Total DFT energy (no corrections) in eV per atom: -5.127

No. 3
# AcLa6Pt4, relaxed, DFT GGA-PBE
data_AcLa6Pt4
_space_group_name_H-M_alt 'P 1'
_space_group_IT_number 1
_cell_length_a 6.2108
_cell_length_b 6.2954
_cell_length_c 9.0414
_cell_angle_alpha 108.16
_cell_angle_beta 93.93
_cell_angle_gamma 104.05
loop_
_space_group_symop_operation_xyz
'x,y,z'
loop_
_atom_site_label
_atom_site_type_symbol
_atom_site_fract_x
_atom_site_fract_y
_atom_site_fract_z
Ac1 Ac 0.0000 0.0000 0.0000
La1 La 0.0196 0.4720 0.3757
La2 La 0.2032 0.0763 0.6445
La3 La 0.2368 0.5863 0.0144
La4 La 0.5726 0.6103 0.6504
La5 La 0.6319 0.9414 0.3629
La6 La 0.6567 0.3770 0.0155
Pt1 Pt 0.0711 0.5949 0.7061
Pt2 Pt 0.1235 0.9404 0.3098
Pt3 Pt 0.4761 0.3912 0.3084
Pt4 Pt 0.7376 0.1466 0.7006
# Formation enthalpy at 0 K in eV per atom: -0.764
# Calculated volume in Å³ per cell: 321.9
# Total DFT energy (no corrections) in eV per atom: -6.022

No. 4
# Ac3LaPt4, relaxed, DFT GGA-PBE
data_Ac3LaPt4
_space_group_name_H-M_alt 'P m -3 m'
_space_group_IT_number 221
_space_group_name_Hall '-P 4 2 3'
_cell_length_a 6.1662
_cell_length_b 6.1662
_cell_length_c 6.1662
_cell_angle_alpha 90.00
_cell_angle_beta 90.00
_cell_angle_gamma 90.00
loop_
_atom_site_label
_atom_site_type_symbol
_atom_site_fract_x
_atom_site_fract_y
_atom_site_fract_z
Ac1 Ac 0.0000 0.0000 0.5000
La1 La 0.5000 0.5000 0.5000
Pt1 Pt 0.0000 0.0000 0.0000
Pt2 Pt 0.0000 0.5000 0.5000
# Formation enthalpy at 0 K in eV per atom: -1.165
# Calculated volume in Å³ per cell: 234.5
# Total DFT energy (no corrections) in eV per atom: -6.342

Which formula does entry 2 have?
Ac2LaPt

The highest total DFT energy (no corrections) belongs to which entry?
Ac2LaPt

What did the first record say?
# AcLaPt2, relaxed, DFT GGA-PBE
data_AcLaPt2
_space_group_name_H-M_alt 'P 1 21/m 1'
_space_group_IT_number 11
_cell_length_a 6.0605
_cell_length_b 4.6058
_cell_length_c 8.1287
_cell_angle_alpha 90.00
_cell_angle_beta 109.58
_cell_angle_gamma 90.00
loop_
_space_group_symop_operation_xyz
'x,y,z'
'-x,-y,-z'
'-x,y+1/2,-z'
'x,-y+1/2,z'
loop_
_atom_site_label
_atom_site_type_symbol
_atom_site_fract_x
_atom_site_fract_y
_atom_site_fract_z
Ac1 Ac 0.2311 0.2500 0.1847
La1 La 0.2308 0.2500 0.6810
Pt1 Pt 0.3105 0.7500 0.4592
Pt2 Pt 0.3186 0.7500 0.9488
# Formation enthalpy at 0 K in eV per atom: -1.177
# Calculated volume in Å³ per cell: 213.8
# Total DFT energy (no corrections) in eV per atom: -6.456